Entry 1:
# KNd2Zn (PBE, optimized geometry)
data_KNd2Zn
_space_group_name_H-M_alt 'P 1'
_space_group_IT_number 1
_cell_length_a 12.458
_cell_length_b 12.458
_cell_length_c 12.458
_cell_angle_alpha 17.27
_cell_angle_beta 17.27
_cell_angle_gamma 17.27
loop_
_space_group_symop_operation_xyz
'x,y,z'
loop_
_atom_site_label
_atom_site_type_symbol
_atom_site_fract_x
_atom_site_fract_y
_atom_site_fract_z
_atom_site_occupancy
K1 K 0.000 0.000 0.000 1
Nd1 Nd 0.108 0.108 0.108 1
Nd2 Nd 0.892 0.892 0.892 1
Zn1 Zn 0.500 0.500 0.500 1
# DFT formation energy	0.140	eV/atom

***

Entry 2:
# BeTcSb (PBE, optimized geometry)
data_BeTcSb
_space_group_name_H-M_alt 'P 1'
_space_group_IT_number 1
_cell_length_a 3.083
_cell_length_b 3.083
_cell_length_c 5.974
_cell_angle_alpha 90.00
_cell_angle_beta 90.00
_cell_angle_gamma 120.00
loop_
_space_group_symop_operation_xyz
'x,y,z'
loop_
_atom_site_label
_atom_site_type_symbol
_atom_site_fract_x
_atom_site_fract_y
_atom_site_fract_z
_atom_site_occupancy
Be1 Be 0.000 0.000 0.000 1
Tc1 Tc 0.333 0.667 0.727 1
Sb1 Sb 0.667 0.333 0.378 1
# ΔE_f (raw)	0.45	eV per atom
# ΔE to the lowest computed polymorph	1.53	eV per formula unit

***

Volume across the listed records, respectively: 37.17, 16.40 A^3/atom.